Entry 1:
Below is a geometry-optimized SrReS2I structure, with properties calculated at the PBE-GGA level.

Cell and atoms, written as POSCAR:
```
SrReS2I
1.0
5.598 0.000 0.000
0.000 6.382 0.000
0.000 0.000 5.598
I Re Sr S
1 1 1 2
direct
0.000 0.500 0.000
0.500 0.500 0.500
0.000 0.000 0.000
0.500 0.000 0.000
0.000 0.000 0.500
```

Properties
- Crystal system: tetragonal
- Energy relative to the elements, uncorrected: 1.0923 eV per atom
- Space group: P4/mmm, No. 123



Entry 2:
Below is a geometry-optimized ZnGa4Rh structure, with properties calculated at the PBE-GGA level.

Cell and atoms, written as POSCAR:
```
ZnGa4Rh
1.0
-4.397 3.037 -0.458
-3.795 -5.223 1.796
0.491 1.544 5.527
Zn Ga Rh
2 8 2
direct
0.500 0.000 0.500
0.000 0.000 0.000
0.764 0.692 0.693
0.707 0.262 0.789
0.236 0.692 0.307
0.293 0.262 0.211
0.293 0.738 0.789
0.764 0.308 0.307
0.236 0.308 0.693
0.707 0.738 0.211
0.000 0.500 0.000
0.000 0.000 0.500
```

Properties
- DFT formation energy: -0.1978 eV/atom
- Crystal system: orthorhombic
- ΔE to the lowest computed polymorph: 91 meV per atom
- Space group: P222, No. 16



Entry 3:
Below is a geometry-optimized UNiGeH structure, with properties calculated at the PBE-GGA level.

Cell and atoms, written as POSCAR:
```
UNiGeH
1.0
-1.774 -2.160 -3.006
0.988 -1.833 3.538
-3.425 0.861 1.403
Ge U Ni H
1 1 1 1
direct
0.905 0.810 0.839
0.572 0.144 0.322
0.239 0.477 0.761
0.239 0.477 0.317
```

Properties
- Crystal system: trigonal
- Uncorrected energy: -0.245 Ha/atom
- Space group: P3m1, No. 156



Entry 4:
Below is a geometry-optimized SrAl2Cr structure, with properties calculated at the PBE-GGA level.

Cell and atoms, written as POSCAR:
```
SrAl2Cr
1.0
3.261 -0.006 0.000
0.006 3.261 0.000
0.000 0.000 7.723
Sr Al Cr
1 2 1
direct
0.500 0.500 0.750
0.000 0.000 0.069
0.000 0.000 0.431
0.500 0.500 0.250
```

Properties
- DFT formation energy: 0.0575 eV/atom
- Crystal system: tetragonal
- ΔE to the lowest computed polymorph: 56 meV per atom
- Space group: P4/mmm, No. 123